{
  "formula": "GeAsRh",
  "functional": "PBE",
  "state": "relaxed",
  "spacegroup": "F-43m, No. 216",
  "de_polymorph_mev_per_atom": 0,
  "magmom_total_mub_per_fu": 0.0,
  "cell": [[5.9888, 0.0000, 0.0000], [0.0000, 5.9888, 0.0000], [0.0000, 0.0000, 5.9888]],
  "species": ["Ge", "Ge", "Ge", "Ge", "As", "As", "As", "As", "Rh", "Rh", "Rh", "Rh"],
  "frac_coords": [[0.0000, 0.0000, 0.0000], [0.0000, 0.5000, 0.5000], [0.5000, 0.0000, 0.5000], [0.5000, 0.5000, 0.0000], [0.0000, 0.0000, 0.5000], [0.0000, 0.5000, 0.0000], [0.5000, 0.0000, 0.0000], [0.5000, 0.5000, 0.5000], [0.2500, 0.2500, 0.7500], [0.2500, 0.7500, 0.2500], [0.7500, 0.2500, 0.2500], [0.7500, 0.7500, 0.7500]]
}


{
  "formula": "Ge2AsRh2",
  "functional": "PBE",
  "state": "relaxed",
  "spacegroup": "P4/mbm, No. 127",
  "total_energy_ev_per_cell": -59.7,
  "magmom_total_mub_per_fu": 0.0,
  "cell": [[7.3970, 0.0000, 0.0000], [0.0000, 7.3970, 0.0000], [0.0000, 0.0000, 2.8864]],
  "species": ["Ge", "Ge", "Ge", "Ge", "As", "As", "Rh", "Rh", "Rh", "Rh"],
  "frac_coords": [[0.1491, 0.3509, 0.0000], [0.3509, 0.8509, 0.0000], [0.6491, 0.1491, 0.0000], [0.8509, 0.6491, 0.0000], [0.0000, 0.0000, 0.5000], [0.5000, 0.5000, 0.5000], [0.1461, 0.6461, 0.5000], [0.3539, 0.1461, 0.5000], [0.6461, 0.8539, 0.5000], [0.8539, 0.3539, 0.5000]]
}


{
  "formula": "GeAsRhSe2",
  "functional": "PBE",
  "state": "relaxed",
  "spacegroup": "P4/mmm, No. 123",
  "formation_energy_uncorrected_mev_per_atom": 960,
  "de_polymorph_mev_per_atom": 559,
  "magmom_total_mub_per_fu": 1.1,
  "cell": [[4.8846, 0.0000, 0.0000], [0.0000, 4.8846, 0.0000], [0.0000, 0.0000, 4.8550]],
  "species": ["Ge", "As", "Rh", "Se", "Se"],
  "frac_coords": [[0.0000, 0.0000, 0.0000], [0.0000, 0.0000, 0.5000], [0.5000, 0.5000, 0.5000], [0.0000, 0.5000, 0.0000], [0.5000, 0.0000, 0.0000]]
}


{
  "formula": "GeAsRhSe2",
  "functional": "PBE",
  "state": "relaxed",
  "spacegroup": "P4/mmm, No. 123",
  "formation_energy_uncorrected_mev_per_atom": 401,
  "de_polymorph_mev_per_atom": 0,
  "magmom_total_mub_per_fu": 0.0,
  "cell": [[5.1093, 0.0000, 0.0000], [0.0000, 5.1093, 0.0000], [0.0000, 0.0000, 4.5273]],
  "species": ["Ge", "As", "Rh", "Se", "Se"],
  "frac_coords": [[0.0000, 0.0000, 0.0000], [0.5000, 0.5000, 0.0000], [0.5000, 0.5000, 0.5000], [0.0000, 0.5000, 0.5000], [0.5000, 0.0000, 0.5000]]
}